No. 1
Entry from Alexandria via LeMat-Bulk: a geometry-optimized Cd2PSe structure (PBE-GGA).

Computed properties:
VASP energy, eV/cell: -36.700

```
data_Cd2PSe
_symmetry_space_group_name_H-M 'F -4 3 m'
_symmetry_Int_Tables_number 216
_symmetry_space_group_name_Hall 'F -4 2 3'
_cell_length_a 6.9473
_cell_length_b 6.9473
_cell_length_c 6.9473
_cell_angle_alpha 90.00
_cell_angle_beta 90.00
_cell_angle_gamma 90.00
loop_
_atom_site_label
_atom_site_fract_x
_atom_site_fract_y
_atom_site_fract_z
Cd1 0.0000 0.0000 0.0000
Cd2 0.2500 0.2500 0.2500
P1 0.0000 0.0000 0.5000
Se1 0.2500 0.2500 0.7500
```

=====

No. 2
Entry from Alexandria via LeMat-Bulk: a geometry-optimized Cd2PSe structure (PBE-GGA).

Computed properties:
VASP energy, eV/cell: -44.935

```
data_Cd2PSe
_symmetry_space_group_name_H-M 'I -4 2 d'
_symmetry_Int_Tables_number 122
_symmetry_space_group_name_Hall 'I -4 2bw'
_cell_length_a 6.1300
_cell_length_b 6.1300
_cell_length_c 11.8182
_cell_angle_alpha 90.00
_cell_angle_beta 90.00
_cell_angle_gamma 90.00
loop_
_atom_site_label
_atom_site_fract_x
_atom_site_fract_y
_atom_site_fract_z
Cd1 0.2292 0.2500 0.1250
P1 0.0000 0.0000 0.0000
Se1 0.0000 0.0000 0.5000
```

=====

No. 3
Entry from Alexandria via LeMat-Bulk: a geometry-optimized Cd2PSe structure (PBE-GGA).

Computed properties:
VASP energy, eV/cell: -9.738

```
data_Cd2PSe
_symmetry_space_group_name_H-M 'P m m m'
_symmetry_Int_Tables_number 47
_symmetry_space_group_name_Hall '-P 2 2'
_cell_length_a 3.6655
_cell_length_b 4.2455
_cell_length_c 5.6767
_cell_angle_alpha 90.00
_cell_angle_beta 90.00
_cell_angle_gamma 90.00
loop_
_atom_site_label
_atom_site_fract_x
_atom_site_fract_y
_atom_site_fract_z
Cd1 0.0000 0.0000 0.0000
Cd2 0.5000 0.5000 0.0000
P1 0.0000 0.0000 0.5000
Se1 0.5000 0.5000 0.5000
```

=====

No. 4
Entry from Alexandria via LeMat-Bulk: a geometry-optimized CdP2Se structure (PBE-GGA).

Computed properties:
VASP energy, eV/cell: -29.497
ΔE to the lowest computed polymorph, meV per atom: 76

```
data_CdP2Se
_symmetry_space_group_name_H-M 'C 1 2/m 1'
_symmetry_Int_Tables_number 12
_symmetry_space_group_name_Hall '-C 2y'
_cell_length_a 12.6418
_cell_length_b 3.3494
_cell_length_c 4.3504
_cell_angle_alpha 90.00
_cell_angle_beta 92.29
_cell_angle_gamma 90.00
loop_
_atom_site_label
_atom_site_fract_x
_atom_site_fract_y
_atom_site_fract_z
Cd1 0.0000 0.0000 0.0000
P1 0.2291 0.0000 0.1457
Se1 0.0000 0.5000 0.5000
```

=====

No. 5
Entry from Alexandria via LeMat-Bulk: a geometry-optimized CdP2Se structure (PBE-GGA).

Computed properties:
VASP energy, eV/cell: -27.379
ΔE to the lowest computed polymorph, meV per atom: 341

```
data_CdP2Se
_symmetry_space_group_name_H-M 'C m m 2'
_symmetry_Int_Tables_number 35
_symmetry_space_group_name_Hall 'C 2 -2'
_cell_length_a 3.1724
_cell_length_b 4.8803
_cell_length_c 11.0419
_cell_angle_alpha 90.00
_cell_angle_beta 90.00
_cell_angle_gamma 90.00
loop_
_atom_site_label
_atom_site_fract_x
_atom_site_fract_y
_atom_site_fract_z
Cd1 0.0000 0.0000 0.0000
P1 0.0000 0.0000 0.4477
P2 0.0000 0.5000 0.3049
Se1 0.0000 0.5000 0.7395
```

=====

No. 6
Entry from Alexandria via LeMat-Bulk: a geometry-optimized Cd2PSe structure (PBE-GGA).

Computed properties:
VASP energy, eV/cell: -18.427

```
data_Cd2PSe
_symmetry_space_group_name_H-M 'C m m 2'
_symmetry_Int_Tables_number 35
_symmetry_space_group_name_Hall 'C 2 -2'
_cell_length_a 3.9376
_cell_length_b 4.4420
_cell_length_c 10.0911
_cell_angle_alpha 90.00
_cell_angle_beta 90.00
_cell_angle_gamma 90.00
loop_
_atom_site_label
_atom_site_fract_x
_atom_site_fract_y
_atom_site_fract_z
Cd1 0.0000 0.0000 0.0000
Cd2 0.0000 0.5000 0.2412
P1 0.0000 0.0000 0.4381
Se1 0.0000 0.5000 0.7647
```

=====

No. 7
Entry from Alexandria via LeMat-Bulk: a geometry-optimized CdP2Se structure (PBE-GGA).

Computed properties:
VASP energy, eV/cell: -54.877
ΔE to the lowest computed polymorph, meV per atom: 333

```
data_CdP2Se
_symmetry_space_group_name_H-M 'I -4 2 d'
_symmetry_Int_Tables_number 122
_symmetry_space_group_name_Hall 'I -4 2bw'
_cell_length_a 5.6330
_cell_length_b 5.6330
_cell_length_c 12.8686
_cell_angle_alpha 90.00
_cell_angle_beta 90.00
_cell_angle_gamma 90.00
loop_
_atom_site_label
_atom_site_fract_x
_atom_site_fract_y
_atom_site_fract_z
Cd1 0.0000 0.0000 0.0000
P1 0.2304 0.2500 0.6250
Se1 0.0000 0.0000 0.5000
```

=====

No. 8
Entry from Alexandria via LeMat-Bulk: a geometry-optimized CdP2Se structure (PBE-GGA).

Computed properties:
VASP energy, eV/cell: -29.208
ΔE to the lowest computed polymorph, meV per atom: 112

```
data_CdP2Se
_symmetry_space_group_name_H-M 'I m m 2'
_symmetry_Int_Tables_number 44
_symmetry_space_group_name_Hall 'I 2 -2'
_cell_length_a 3.1685
_cell_length_b 4.0036
_cell_length_c 14.4509
_cell_angle_alpha 90.00
_cell_angle_beta 90.00
_cell_angle_gamma 90.00
loop_
_atom_site_label
_atom_site_fract_x
_atom_site_fract_y
_atom_site_fract_z
Cd1 0.0000 0.0000 0.0000
P1 0.0000 0.0000 0.6178
P2 0.0000 0.5000 0.2176
Se1 0.0000 0.5000 0.8773
```

=====

No. 9
Entry from Alexandria via LeMat-Bulk: a geometry-optimized Cd2PSe structure (PBE-GGA).

Computed properties:
VASP energy, eV/cell: -9.650

```
data_Cd2PSe
_symmetry_space_group_name_H-M 'P 4/m m m'
_symmetry_Int_Tables_number 123
_symmetry_space_group_name_Hall '-P 4 2'
_cell_length_a 4.8116
_cell_length_b 4.8116
_cell_length_c 3.6268
_cell_angle_alpha 90.00
_cell_angle_beta 90.00
_cell_angle_gamma 90.00
loop_
_atom_site_label
_atom_site_fract_x
_atom_site_fract_y
_atom_site_fract_z
Cd1 0.0000 0.5000 0.0000
P1 0.0000 0.0000 0.5000
Se1 0.5000 0.5000 0.5000
```

=====

No. 10
Entry from Alexandria via LeMat-Bulk: a geometry-optimized Cd2PSe structure (PBE-GGA).

Computed properties:
VASP energy, eV/cell: -9.879

```
data_Cd2PSe
_symmetry_space_group_name_H-M 'P 4/m m m'
_symmetry_Int_Tables_number 123
_symmetry_space_group_name_Hall '-P 4 2'
_cell_length_a 3.7600
_cell_length_b 3.7600
_cell_length_c 5.9657
_cell_angle_alpha 90.00
_cell_angle_beta 90.00
_cell_angle_gamma 90.00
loop_
_atom_site_label
_atom_site_fract_x
_atom_site_fract_y
_atom_site_fract_z
Cd1 0.0000 0.0000 0.2390
P1 0.5000 0.5000 0.0000
Se1 0.5000 0.5000 0.5000
```

=====

No. 11
Entry from Alexandria via LeMat-Bulk: a geometry-optimized Cd2PSe structure (PBE-GGA).

Computed properties:
VASP energy, eV/cell: -10.351

```
data_Cd2PSe
_symmetry_space_group_name_H-M 'P 4 m m'
_symmetry_Int_Tables_number 99
_symmetry_space_group_name_Hall 'P 4 -2'
_cell_length_a 3.5876
_cell_length_b 3.5876
_cell_length_c 7.3581
_cell_angle_alpha 90.00
_cell_angle_beta 90.00
_cell_angle_gamma 90.00
loop_
_atom_site_label
_atom_site_fract_x
_atom_site_fract_y
_atom_site_fract_z
Cd1 0.0000 0.0000 0.0000
Cd2 0.5000 0.5000 0.2049
P1 0.0000 0.0000 0.6464
Se1 0.5000 0.5000 0.5810
```

=====

No. 12
Entry from Alexandria via LeMat-Bulk: a geometry-optimized CdP2Se structure (PBE-GGA).

Computed properties:
VASP energy, eV/cell: -43.120
ΔE to the lowest computed polymorph, meV per atom: 170

```
data_CdP2Se
_symmetry_space_group_name_H-M 'R 3 m'
_symmetry_Int_Tables_number 160
_symmetry_space_group_name_Hall 'R 3 -2"'
_cell_length_a 3.2260
_cell_length_b 3.2260
_cell_length_c 36.1302
_cell_angle_alpha 90.00
_cell_angle_beta 90.00
_cell_angle_gamma 120.00
loop_
_atom_site_label
_atom_site_fract_x
_atom_site_fract_y
_atom_site_fract_z
Cd1 0.0000 0.0000 0.0000
P1 0.0000 0.0000 0.2128
P2 0.0000 0.0000 0.5117
Se1 0.0000 0.0000 0.7292
```